Run a
## Cd2CoCl (PBE-GGA)

Data for a relaxed structure of Cd2CoCl.

magnetization	0.475	μB/f.u.

Cell: 3.143 3.143 7.585 Å, 90.00 90.00 89.99°
Site moments in Bohr magnetons follow the coordinates.
Fractional positions:
Cl: 0.500 0.500 0.250  -0.01
Co: 0.500 0.500 0.750  0.59
Cd: 0.000 0.000 0.964  -0.02
Cd: 0.000 0.000 0.536  -0.02

***

Run b
## Cd2CoCl (PBE-GGA)

Data for a relaxed structure of Cd2CoCl.

magnetization	1.479	μB/f.u.

Cell: 8.477 8.477 8.477 Å, 22.43 22.43 22.43°
Site moments in Bohr magnetons follow the coordinates.
Fractional positions:
Cl: 0.250 0.250 0.250  0.01
Co: 0.750 0.750 0.750  1.51
Cd: 0.006 0.006 0.006  -0.01
Cd: 0.494 0.494 0.494  -0.01

***

Looking at the structures above, run a is most stable, and the difference to the next one is 0.019 eV/atom.